No. 1
VASP calculation (GGA-PBE) on a relaxed structure of InBr2Cl.

Cell lengths 7.5702, 7.5702, 4.2181 Å; angles 75.55, 75.55, 31.94 degrees
Sites, in units of the cell vectors:
Cl  0.7500  0.7500  0.7500
Br  0.9998  0.9998  0.0003
Br  0.5002  0.5002  0.4997
In  0.2500  0.2500  0.2500

**Crystal system**: monoclinic
**Total moment**: 0.00 μB/cell
**Fermi-level density of states**: 4.2 states/eV per cell
**Raw formation energy**: -1.1 eV/f.u.

---

No. 2
VASP calculation (GGA-PBE) on a relaxed structure of Y6Fe.

Cell lengths 6.3552, 11.0244, 12.0310 Å; angles 90.00, 90.00, 90.00 degrees
Sites, in units of the cell vectors:
Y  0.7402  0.2500  0.5027
Y  0.2598  0.7500  0.4973
Y  0.2402  0.7500  0.9973
Y  0.7598  0.2500  0.0027
Y  0.4232  0.2500  0.7508
Y  0.5768  0.7500  0.2492
Y  0.9232  0.7500  0.7492
Y  0.0768  0.2500  0.2508
Y  0.2465  0.4228  0.4986
Y  0.7535  0.5772  0.5014
Y  0.7465  0.5772  0.0014
Y  0.7535  0.9228  0.5014
Y  0.2535  0.4228  0.9986
Y  0.2465  0.0772  0.4986
Y  0.2535  0.0772  0.9986
Y  0.7465  0.9228  0.0014
Y  0.9148  0.4201  0.7531
Y  0.0852  0.5799  0.2469
Y  0.4148  0.5799  0.7469
Y  0.0852  0.9201  0.2469
Y  0.5852  0.4201  0.2531
Y  0.9148  0.0799  0.7531
Y  0.5852  0.0799  0.2531
Y  0.4148  0.9201  0.7469
Fe  0.0826  0.2500  0.6245
Fe  0.9174  0.7500  0.3755
Fe  0.5826  0.7500  0.8755
Fe  0.4174  0.2500  0.1245

**Crystal system**: orthorhombic
**Total moment**: 3.01 μB/cell
**Fermi-level density of states**: 35.9 states/eV per cell
**Energy relative to the elements**: 3 kJ per mole of atoms

---

No. 3
VASP calculation (GGA-PBE) on a relaxed structure of GeHOs2.

Cell lengths 6.1355, 6.1355, 5.0149 Å; angles 52.29, 52.29, 90.00 degrees
Sites, in units of the cell vectors:
H  0.5000  0.5000  0.0000
H  0.2500  0.7500  0.5000
Ge  0.0000  0.0000  0.0000
Ge  0.7500  0.2500  0.5000
Os  0.5285  0.1250  0.2500
Os  0.2215  0.6250  0.2500
Os  0.3750  0.4715  0.7500
Os  0.8750  0.7785  0.7500

**Final energy**: -7.204 eV/atom
**Crystal system**: tetragonal
**Total moment**: 0.00 μB/cell
**Fermi-level density of states**: 9.0 states/eV per cell

---

No. 4
VASP calculation (GGA-PBE) on a relaxed structure of Er3Co3Ni.

Cell lengths 4.1303, 5.2909, 12.3199 Å; angles 90.00, 90.00, 112.97 degrees
Sites, in units of the cell vectors:
Er  0.2205  0.4410  0.8970
Er  0.7795  0.5590  0.1030
Er  0.2205  0.4410  0.6030
Er  0.7795  0.5590  0.3970
Er  0.5109  0.0218  0.7500
Er  0.4891  0.9782  0.2500
Co  0.9304  0.8607  0.9115
Co  0.0696  0.1393  0.0885
Co  0.9304  0.8607  0.5885
Co  0.0696  0.1393  0.4115
Co  0.8110  0.6220  0.7500
Co  0.1890  0.3780  0.2500
Ni  0.5000  0.0000  0.0000
Ni  0.5000  0.0000  0.5000

**Crystal system**: orthorhombic
**Total moment**: 3.70 μB/cell
**Fermi-level density of states**: 15.0 states/eV per cell
**Energy relative to the elements**: -26 kJ per mole of atoms